Here is a geometry-optimized Sc3RhC structure from Alexandria. Energies are from PBE. Values from VASP.

Properties
- total magnetization (μB per formula unit) = 0.0
- density (g/cm³) = 4.73
- DFT formation energy (meV/atom) = -516
- N(E_F) (states/eV per cell) = 2.36
- relative energy among the computed polymorphs (meV/atom) = 0

Geometry as Quantum ESPRESSO input:
```
&SYSTEM
  ibrav = 0, nat = 5, ntyp = 3
/
ATOMIC_SPECIES
Sc 44.96 Sc.upf
Rh 102.91 Rh.upf
C 12.01 C.upf
CELL_PARAMETERS angstrom
4.442 0.000 0.000
0.000 4.442 0.000
0.000 0.000 4.442
ATOMIC_POSITIONS crystal
Sc 0.000 0.000 0.500
Sc 0.000 0.500 0.000
Sc 0.500 0.000 0.000
Rh 0.500 0.500 0.500
C 0.000 0.000 0.000
```